! PBE with a Hubbard U TcMoN2O, optimized geometry; values from VASP
&SYSTEM
  ibrav = 0, nat = 5, ntyp = 4
/
ATOMIC_SPECIES
Tc 98.00 Tc.upf
Mo 95.94 Mo.upf
N 14.01 N.upf
O 16.00 O.upf
CELL_PARAMETERS angstrom
4.010 0.000 0.000
0.000 4.010 0.000
0.000 0.000 3.887
ATOMIC_POSITIONS crystal
Tc 0.000 0.000 0.000
Mo 0.500 0.500 0.500
N 0.000 0.500 0.500
N 0.500 0.000 0.500
O 0.500 0.500 0.000
! Calculated total energy   -7.1454 eV per atom
! DOS at the Fermi energy   1.33 states/eV/cell